(1)
A relaxed structure of Dy4SnHg7. Source: Alexandria via LeMat-Bulk, functional PBE.

Lattice parameters (Å, degrees): 5.4584 9.6260 7.0102 79.35 67.09 73.53
Closest atoms and distances in Å follow each position.
Positions (direct):
1 Dy 0.5811 0.2250 0.6127  8 Hg 3.04-3.23
2 Dy 0.4189 0.7750 0.3873  8 Hg 3.04-3.23
3 Dy 0.7392 0.6796 0.8421  6 Hg 3.08-3.21
4 Dy 0.2608 0.3204 0.1579  6 Hg 3.08-3.21
5 Sn 0.0000 0.0000 0.0000  2 Hg 2.73
6 Hg 0.8037 0.9163 0.4763  4 Dy 3.05-3.10, 1 Sn 3.11, 3 Hg 3.13-3.16
7 Hg 0.1963 0.0837 0.5237  4 Dy 3.05-3.10, 1 Sn 3.11, 3 Hg 3.13-3.16
8 Hg 0.0736 0.6547 0.1982  3 Dy 3.12-3.23, 4 Hg 3.13-3.26, 1 Sn 3.33
9 Hg 0.9264 0.3453 0.8018  3 Dy 3.12-3.23, 4 Hg 3.13-3.26, 1 Sn 3.33
10 Hg 0.3592 0.5375 0.7441  5 Dy 3.04-3.20, 4 Hg 3.21-3.28
11 Hg 0.5000 0.0000 0.0000  2 Sn 2.73
12 Hg 0.6408 0.4625 0.2559  5 Dy 3.04-3.20, 4 Hg 3.21-3.28

## Properties
* formation energy from the elements: -0.2473 eV per atom
* volume: 324.2 Å³ per cell

---

(2)
A relaxed structure of DySnHg. Source: Alexandria via LeMat-Bulk, functional PBE.

Lattice parameters (Å, degrees): 3.7095 3.7095 6.2337 107.31 107.31 90.00
Closest atoms and distances in Å follow each position.
Positions (direct):
1 Hg 0.9500 0.9500 0.9001  4 Dy 3.18, 4 Sn 3.18
2 Sn 0.2906 0.2906 0.5812  4 Hg 3.18, 4 Dy 3.33
3 Dy 0.6094 0.6094 0.2187  4 Hg 3.18, 4 Sn 3.33

## Properties
* formation energy from the elements: -0.3460 eV per atom
* volume: 77.8 Å³ per cell

---

(3)
A relaxed structure of Dy3SnHg. Source: Alexandria via LeMat-Bulk, functional PBE.

Lattice parameters (Å, degrees): 8.6644 8.2447 8.2447 85.74 90.00 90.00
Closest atoms and distances in Å follow each position.
Positions (direct):
1 Dy 0.5823 0.7988 0.0076  3 Sn 3.15-3.40, 2 Hg 3.16-3.17
2 Dy 0.9177 0.9924 0.2012  3 Sn 3.15-3.40, 2 Hg 3.16-3.17
3 Dy 0.4177 0.2012 0.9924  3 Sn 3.15-3.40, 2 Hg 3.16-3.17
4 Dy 0.0823 0.0076 0.7988  3 Sn 3.15-3.40, 2 Hg 3.16-3.17
5 Dy 0.8042 0.4235 0.0767  3 Hg 3.05, 2 Sn 3.07
6 Dy 0.6958 0.9233 0.5765  3 Hg 3.05, 2 Sn 3.07
7 Dy 0.1958 0.5765 0.9233  3 Hg 3.05, 2 Sn 3.07
8 Dy 0.3042 0.0767 0.4235  3 Hg 3.05, 2 Sn 3.07
9 Dy 0.5822 0.4941 0.7019  3 Sn 3.15-3.38, 2 Hg 3.17-3.18
10 Dy 0.9178 0.2981 0.5059  3 Sn 3.15-3.38, 2 Hg 3.17-3.18
11 Dy 0.4178 0.5059 0.2981  3 Sn 3.15-3.38, 2 Hg 3.17-3.18
12 Dy 0.0822 0.7019 0.4941  3 Sn 3.15-3.38, 2 Hg 3.17-3.18
13 Sn 0.2500 0.8516 0.1484  8 Dy 3.07-3.40
14 Sn 0.7500 0.1484 0.8516  8 Dy 3.07-3.40
15 Sn 0.2500 0.3528 0.6472  8 Dy 3.07-3.38
16 Sn 0.7500 0.6472 0.3528  8 Dy 3.07-3.38
17 Hg 0.8753 0.6913 0.8114  7 Dy 3.05-3.18
18 Hg 0.6247 0.1886 0.3087  7 Dy 3.05-3.18
19 Hg 0.1247 0.3087 0.1886  7 Dy 3.05-3.18
20 Hg 0.3753 0.8114 0.6913  7 Dy 3.05-3.18

## Properties
* formation energy from the elements: -0.4158 eV per atom
* volume: 587.3 Å³ per cell